The following is a GGA-PBE calculation of a geometry-optimized Ho2Sn5Pd3 structure, from the Alexandria database.

- ΔH_f (0 K) (meV per atom) = -663

Unit cell a=4.4785 b=7.4212 c=13.5603 alpha=90.00 beta=99.50 gamma=90.00
Atoms (fractional coordinates):
Sn1 0.7104 0.0056 0.4208
Sn2 0.7038 0.4335 0.4076
Sn3 0.4032 0.3834 0.8064
Sn4 0.5968 0.8834 0.1936
Sn5 0.9522 0.0942 0.9044
Sn6 0.2962 0.9335 0.5924
Sn7 0.2896 0.5056 0.5792
Sn8 0.1192 0.2581 0.2383
Sn9 0.0478 0.5942 0.0956
Sn10 0.8808 0.7581 0.7617
Ho1 0.5239 0.2559 0.0478
Ho2 0.8270 0.2319 0.6541
Ho3 0.1730 0.7319 0.3459
Ho4 0.4761 0.7559 0.9522
Pd1 0.6053 0.5122 0.2106
Pd2 0.3947 0.0122 0.7894
Pd3 0.9512 0.4786 0.9025
Pd4 0.0488 0.9786 0.0975
Pd5 0.7768 0.7115 0.5536
Pd6 0.2232 0.2115 0.4464


The following is a GGA-PBE calculation of a geometry-optimized HoSn2Pd6 structure, from the Alexandria database.

- ΔH_f (0 K) (meV per atom) = -509

Unit cell a=3.7074 b=7.4521 c=7.4521 alpha=124.99 beta=90.00 gamma=90.00
Atoms (fractional coordinates):
Pd1 0.0000 0.2323 0.9076
Pd2 0.5000 0.9359 0.5728
Pd3 0.0000 0.8104 0.8104
Pd4 0.5000 0.5728 0.9359
Pd5 0.5000 0.5198 0.5198
Pd6 0.0000 0.9076 0.2323
Sn1 0.0000 0.6036 0.3060
Sn2 0.0000 0.3060 0.6036
Ho1 0.5000 0.1114 0.1114


The following is a GGA-PBE calculation of a geometry-optimized Ho2SnPd6 structure, from the Alexandria database.

- ΔH_f (0 K) (meV per atom) = -625

Unit cell a=3.4481 b=7.2572 c=7.9685 alpha=117.09 beta=89.89 gamma=90.00
Atoms (fractional coordinates):
Pd1 0.0007 0.9606 0.3167
Pd2 0.0007 0.3561 0.3167
Pd3 0.5000 0.7008 0.0000
Pd4 0.9993 0.0394 0.6833
Pd5 0.9993 0.6439 0.6833
Pd6 0.5000 0.2992 0.0000
Ho1 0.5006 0.6922 0.3843
Ho2 0.4994 0.3078 0.6157
Sn1 0.0000 0.0000 0.0000


The following is a GGA-PBE calculation of a geometry-optimized HoSn2Pd8 structure, from the Alexandria database.

- ΔH_f (0 K) (meV per atom) = -494

Unit cell a=4.8288 b=7.2354 c=7.2354 alpha=117.75 beta=103.80 gamma=103.80
Atoms (fractional coordinates):
Pd1 0.1282 0.0902 0.3218
Pd2 0.8718 0.9098 0.6782
Pd3 0.8718 0.6782 0.9098
Pd4 0.5000 0.7773 0.2227
Pd5 0.6846 0.4112 0.4112
Pd6 0.1282 0.3218 0.0902
Pd7 0.5000 0.2227 0.7773
Pd8 0.3154 0.5888 0.5888
Sn1 0.0000 0.3102 0.6898
Sn2 0.0000 0.6898 0.3102
Ho1 0.5000 0.0000 0.0000


The following is a GGA-PBE calculation of a geometry-optimized HoSn2Pd9 structure, from the Alexandria database.

- ΔH_f (0 K) (meV per atom) = -635

Unit cell a=4.0770 b=4.0770 c=12.1236 alpha=90.00 beta=90.00 gamma=90.00
Atoms (fractional coordinates):
Sn1 0.0000 0.0000 0.6654
Sn2 0.0000 0.0000 0.3346
Pd1 0.0000 0.5000 0.5000
Pd2 0.5000 0.5000 0.6634
Pd3 0.5000 0.5000 0.3366
Pd4 0.5000 0.0000 0.1721
Pd5 0.0000 0.5000 0.1721
Pd6 0.5000 0.5000 0.0000
Pd7 0.5000 0.0000 0.5000
Pd8 0.5000 0.0000 0.8279
Pd9 0.0000 0.5000 0.8279
Ho1 0.0000 0.0000 0.0000


The following is a GGA-PBE calculation of a geometry-optimized HoSn6Pd12 structure, from the Alexandria database.

- ΔH_f (0 K) (meV per atom) = -442

Unit cell a=7.5677 b=7.5677 c=7.5677 alpha=106.16 beta=106.16 gamma=106.16
Atoms (fractional coordinates):
Pd1 0.8826 0.1174 0.5000
Pd2 0.1174 0.8826 0.5000
Pd3 0.6370 0.6370 0.8799
Pd4 0.1201 0.3630 0.3630
Pd5 0.5000 0.8826 0.1174
Pd6 0.6370 0.8799 0.6370
Pd7 0.1174 0.5000 0.8826
Pd8 0.5000 0.1174 0.8826
Pd9 0.8826 0.5000 0.1174
Pd10 0.8799 0.6370 0.6370
Pd11 0.3630 0.1201 0.3630
Pd12 0.3630 0.3630 0.1201
Sn1 0.2799 0.6967 0.2799
Sn2 0.2799 0.2799 0.6967
Sn3 0.7201 0.7201 0.3033
Sn4 0.3033 0.7201 0.7201
Sn5 0.7201 0.3033 0.7201
Sn6 0.6967 0.2799 0.2799
Ho1 0.0000 0.0000 0.0000


The following is a GGA-PBE calculation of a geometry-optimized HoSn2Pd5 structure, from the Alexandria database.

- ΔH_f (0 K) (meV per atom) = -668

Unit cell a=4.2094 b=7.3285 c=7.3285 alpha=45.95 beta=73.31 gamma=73.31
Atoms (fractional coordinates):
Pd1 0.3868 0.3691 0.8573
Pd2 0.3868 0.8573 0.3691
Pd3 0.6132 0.6309 0.1427
Pd4 0.0000 0.5000 0.5000
Pd5 0.6132 0.1427 0.6309
Sn1 0.7872 0.7128 0.7128
Sn2 0.2128 0.2872 0.2872
Ho1 0.0000 0.0000 0.0000


The following is a GGA-PBE calculation of a geometry-optimized Ho4SnPd15 structure, from the Alexandria database.

- ΔH_f (0 K) (meV per atom) = -816

Unit cell a=4.1047 b=4.1047 c=20.4301 alpha=90.00 beta=90.00 gamma=90.00
Atoms (fractional coordinates):
Ho1 0.0000 0.0000 0.8012
Ho2 0.0000 0.0000 0.3995
Ho3 0.0000 0.0000 0.1988
Ho4 0.0000 0.0000 0.6005
Pd1 0.5000 0.0000 0.0957
Pd2 0.5000 0.5000 0.3985
Pd3 0.5000 0.5000 0.1964
Pd4 0.5000 0.5000 0.6015
Pd5 0.0000 0.5000 0.7018
Pd6 0.0000 0.5000 0.2982
Pd7 0.5000 0.0000 0.9043
Pd8 0.5000 0.0000 0.7018
Pd9 0.5000 0.5000 0.8036
Pd10 0.0000 0.5000 0.9043
Pd11 0.0000 0.5000 0.5000
Pd12 0.5000 0.0000 0.5000
Pd13 0.0000 0.5000 0.0957
Pd14 0.5000 0.0000 0.2982
Pd15 0.5000 0.5000 0.0000
Sn1 0.0000 0.0000 0.0000


The following is a GGA-PBE calculation of a geometry-optimized Ho2SnPd4 structure, from the Alexandria database.

- E above lowest polymorph (meV per atom) = 569.9
- ΔH_f (0 K) (meV per atom) = -243

Unit cell a=4.9061 b=4.9061 c=7.9327 alpha=108.01 beta=108.01 gamma=90.00
Atoms (fractional coordinates):
Ho1 0.3694 0.3694 0.7387
Ho2 0.6306 0.6306 0.2613
Pd1 0.1860 0.1860 0.3720
Pd2 0.8140 0.8140 0.6280
Pd3 0.0000 0.5000 0.0000
Pd4 0.5000 0.0000 0.0000
Sn1 0.0000 0.0000 0.0000


The following is a GGA-PBE calculation of a geometry-optimized Ho2SnPd3 structure, from the Alexandria database.

- ΔH_f (0 K) (meV per atom) = -813

Unit cell a=5.6092 b=8.6086 c=6.3368 alpha=109.94 beta=116.27 gamma=90.00
Atoms (fractional coordinates):
Sn1 0.2121 0.2500 0.0000
Sn2 0.7879 0.7500 0.0000
Ho1 0.6908 0.5945 0.3787
Ho2 0.3121 0.9055 0.6213
Ho3 0.3092 0.4055 0.6213
Ho4 0.6879 0.0945 0.3787
Pd1 0.2980 0.7500 0.0000
Pd2 0.7020 0.2500 0.0000
Pd3 0.8719 0.4358 0.7435
Pd4 0.8716 0.9358 0.7435
Pd5 0.1284 0.0642 0.2565
Pd6 0.1281 0.5642 0.2565


The following is a GGA-PBE calculation of a geometry-optimized Ho2SnPd9 structure, from the Alexandria database.

- ΔH_f (0 K) (meV per atom) = -762

Unit cell a=4.1008 b=4.1008 c=12.1984 alpha=90.00 beta=90.00 gamma=90.00
Atoms (fractional coordinates):
Pd1 0.0000 0.5000 0.1608
Pd2 0.5000 0.5000 0.0000
Pd3 0.0000 0.5000 0.8392
Pd4 0.5000 0.5000 0.6702
Pd5 0.5000 0.0000 0.5000
Pd6 0.0000 0.5000 0.5000
Pd7 0.5000 0.5000 0.3298
Pd8 0.5000 0.0000 0.1608
Pd9 0.5000 0.0000 0.8392
Sn1 0.0000 0.0000 0.0000
Ho1 0.0000 0.0000 0.6680
Ho2 0.0000 0.0000 0.3320


The following is a GGA-PBE calculation of a geometry-optimized HoSn4Pd15 structure, from the Alexandria database.

- ΔH_f (0 K) (meV per atom) = -583

Unit cell a=4.0600 b=4.0600 c=20.2381 alpha=90.00 beta=90.00 gamma=90.00
Atoms (fractional coordinates):
Pd1 0.5000 0.0000 0.1037
Pd2 0.5000 0.0000 0.8963
Pd3 0.5000 0.0000 0.6987
Pd4 0.0000 0.5000 0.5000
Pd5 0.5000 0.5000 0.0000
Pd6 0.0000 0.5000 0.8963
Pd7 0.5000 0.0000 0.5000
Pd8 0.5000 0.0000 0.3013
Pd9 0.5000 0.5000 0.2027
Pd10 0.5000 0.5000 0.7973
Pd11 0.0000 0.5000 0.6987
Pd12 0.0000 0.5000 0.1037
Pd13 0.5000 0.5000 0.5994
Pd14 0.5000 0.5000 0.4006
Pd15 0.0000 0.5000 0.3013
Ho1 0.0000 0.0000 0.0000
Sn1 0.0000 0.0000 0.5992
Sn2 0.0000 0.0000 0.4008
Sn3 0.0000 0.0000 0.7979
Sn4 0.0000 0.0000 0.2021


no.,density of states at the Fermi level (states/eV per cell)
1,8.22
2,4.69
3,3.92
4,4.06
5,4.51
6,9.58
7,3.40
8,8.35
9,3.08
10,4.34
11,4.87
12,4.66